Entry 1:
5
Lattice="3.423 0.000 0.000 0.000 3.423 0.000 0.000 0.000 6.456" Properties=species:S:1:pos:R:3 comment="CuSiSeN2 (PBE, optimized geometry)" raw_formation_energy_mev_per_atom=488.5 pbc="T T T"
Cu 0.000 0.000 0.000
Si 1.712 1.712 3.228
Se 1.712 1.712 0.000
N 0.000 1.712 3.228
N 1.712 0.000 3.228

---

Entry 2:
5
Lattice="4.062 0.000 0.000 0.000 4.062 0.000 0.000 0.000 5.725" Properties=species:S:1:pos:R:3 comment="CuSnSeN2 (PBE, optimized geometry)" raw_formation_energy_mev_per_atom=1374.8 pbc="T T T"
Cu 0.000 0.000 0.000
Sn 2.031 2.031 2.862
Se 2.031 2.031 0.000
N 0.000 2.031 2.862
N 2.031 0.000 2.862

---

Entry 3:
5
Lattice="4.012 0.000 0.000 0.000 4.012 0.000 0.000 0.000 5.105" Properties=species:S:1:pos:R:3 comment="CuSnSeN2 (PBE, optimized geometry)" raw_formation_energy_mev_per_atom=1282.4 pbc="T T T"
Cu 0.000 0.000 0.000
Sn 2.006 2.006 2.552
Se 0.000 0.000 2.552
N 0.000 2.006 0.000
N 2.006 0.000 0.000

---

Entry 4:
5
Lattice="4.025 0.000 0.000 0.000 4.025 0.000 0.000 0.000 6.714" Properties=species:S:1:pos:R:3 comment="SrCuSeN2 (PBE, optimized geometry)" raw_formation_energy_mev_per_atom=865.9 pbc="T T T"
Sr 0.000 0.000 0.000
Cu 0.000 0.000 3.357
Se 2.012 2.012 0.000
N 0.000 2.012 3.357
N 2.012 0.000 3.357

---

Entry 5:
5
Lattice="5.187 0.000 0.000 0.000 5.187 0.000 0.000 0.000 3.772" Properties=species:S:1:pos:R:3 comment="SrCuSe2N (PBE, optimized geometry)" raw_formation_energy_mev_per_atom=-87.1 pbc="T T T"
Sr 0.000 0.000 0.000
Cu 2.594 2.594 1.886
Se 0.000 2.594 1.886
Se 2.594 0.000 1.886
N 2.594 2.594 0.000

---

Entry 6:
5
Lattice="4.114 0.000 0.000 0.000 4.114 0.000 0.000 0.000 4.807" Properties=species:S:1:pos:R:3 comment="SrCuSeN2 (PBE, optimized geometry)" raw_formation_energy_mev_per_atom=691.1 pbc="T T T"
Sr 0.000 0.000 0.000
Cu 2.057 2.057 2.403
Se 2.057 2.057 0.000
N 0.000 2.057 2.403
N 2.057 0.000 2.403

---

Entry 7:
5
Lattice="4.613 0.000 0.000 0.000 4.613 0.000 0.000 0.000 6.136" Properties=species:S:1:pos:R:3 comment="SrCuSeN2 (PBE, optimized geometry)" raw_formation_energy_mev_per_atom=1848.7 pbc="T T T"
Sr 0.000 0.000 0.000
Cu 2.307 2.307 3.068
Se 0.000 0.000 3.068
N 0.000 2.307 0.000
N 2.307 0.000 0.000

---

Entry 8:
5
Lattice="5.795 0.000 0.000 0.000 5.795 0.000 0.000 0.000 4.490" Properties=species:S:1:pos:R:3 comment="SrCuSe2N (PBE, optimized geometry)" raw_formation_energy_mev_per_atom=1246.0 pbc="T T T"
Sr 0.000 0.000 0.000
Cu 2.897 2.897 2.245
Se 0.000 2.897 0.000
Se 2.897 0.000 0.000
N 0.000 0.000 2.245

---

Entry 9:
5
Lattice="3.889 0.000 0.000 0.000 3.889 0.000 0.000 0.000 6.340" Properties=species:S:1:pos:R:3 comment="CuTeSeN2 (PBE, optimized geometry)" raw_formation_energy_mev_per_atom=1468.5 pbc="T T T"
Cu 0.000 0.000 0.000
Te 0.000 0.000 3.170
Se 1.944 1.944 3.170
N 0.000 1.944 0.000
N 1.944 0.000 0.000

---

Entry 10:
5
Lattice="3.871 0.000 0.000 0.000 3.871 0.000 0.000 0.000 6.056" Properties=species:S:1:pos:R:3 comment="CuTeSeN2 (PBE, optimized geometry)" raw_formation_energy_mev_per_atom=1407.0 pbc="T T T"
Cu 0.000 0.000 0.000
Te 1.936 1.936 3.028
Se 1.936 1.936 0.000
N 0.000 1.936 3.028
N 1.936 0.000 3.028

---

Entry 11:
5
Lattice="3.932 0.000 0.000 0.000 3.932 0.000 0.000 0.000 5.865" Properties=species:S:1:pos:R:3 comment="CuTeSeN2 (PBE, optimized geometry)" raw_formation_energy_mev_per_atom=1503.9 pbc="T T T"
Cu 0.000 0.000 0.000
Te 1.966 1.966 2.932
Se 0.000 0.000 2.932
N 0.000 1.966 0.000
N 1.966 0.000 0.000

---

Entry 12:
5
Lattice="3.738 0.000 0.000 0.000 3.738 0.000 0.000 0.000 6.920" Properties=species:S:1:pos:R:3 comment="CuTeSeN2 (PBE, optimized geometry)" raw_formation_energy_mev_per_atom=1508.6 pbc="T T T"
Cu 0.000 0.000 0.000
Te 1.869 1.869 0.000
Se 1.869 1.869 3.460
N 0.000 1.869 3.460
N 1.869 0.000 3.460